No. 1
VASP calculation (PBE) on a geometry-optimized LiGaSn6 structure.

Cell: 6.6337 8.8640 7.5136 Å, 90.00 91.75 90.00°
Space group C2/m (No. 12)
Unique sites:
Li: 0.0000 0.0000 0.0000 (multiplicity 2)
Ga: 0.0000 0.5000 0.5000 (multiplicity 2)
Sn: 0.1290 0.3068 0.8281 (multiplicity 8)
Sn: 0.1369 0.0000 0.6515 (multiplicity 4)


No. 2
VASP calculation (PBE) on a geometry-optimized Li12Ga2Sn5 structure.

Cell: 14.7307 5.5357 9.8871 Å, 90.00 100.10 90.00°
Space group C2/m (No. 12)
Unique sites:
Li: 0.0250 0.0000 0.3474 (multiplicity 4)
Li: 0.0319 0.5000 0.7827 (multiplicity 4)
Li: 0.1432 0.2376 0.6391 (multiplicity 8)
Li: 0.1917 0.2447 0.1469 (multiplicity 8)
Ga: 0.0000 0.2687 0.0000 (multiplicity 4)
Sn: 0.0000 0.5000 0.5000 (multiplicity 2)
Sn: 0.1291 0.0000 0.8890 (multiplicity 4)
Sn: 0.2138 0.0000 0.4312 (multiplicity 4)


No. 3
VASP calculation (PBE) on a geometry-optimized Li2Ga2Sn structure.

Summary:
As for the energy above the most stable polymorph in this dataset: 0.023 eV per atom.

Cell: 10.3424 4.5518 8.5769 Å, 90.00 106.73 90.00°
Space group C2/m (No. 12)
Unique sites:
Li: 0.0704 0.0000 0.3526 (multiplicity 4)
Li: 0.1538 0.0000 0.0407 (multiplicity 4)
Ga: 0.0313 0.5000 0.8568 (multiplicity 4)
Ga: 0.1321 0.5000 0.5475 (multiplicity 4)
Sn: 0.2333 0.0000 0.7354 (multiplicity 4)


No. 4
VASP calculation (PBE) on a geometry-optimized LiGaSn2 structure.

Cell: 3.4013 3.4013 30.2363 Å, 90.00 90.00 120.00°
Space group R-3m (No. 166, hexagonal axes)
Unique sites:
Li: 0.0000 0.0000 0.0000 (multiplicity 3)
Ga: 0.0000 0.0000 0.5000 (multiplicity 3)
Sn: 0.0000 0.0000 0.0919 (multiplicity 6)


No. 5
VASP calculation (PBE) on a geometry-optimized Li4Ga2Sn structure.

Summary:
As for the energy above the most stable polymorph in this dataset: 0.156 eV per atom.

Cell: 5.0546 5.0546 13.5302 Å, 90.00 90.00 90.00°
Space group I4/mmm (No. 139)
Unique sites:
Li: 0.0000 0.0000 0.2035 (multiplicity 4)
Li: 0.0000 0.5000 0.0000 (multiplicity 4)
Ga: 0.0000 0.0000 0.4012 (multiplicity 4)
Sn: 0.0000 0.0000 0.0000 (multiplicity 2)


No. 6
VASP calculation (PBE) on a geometry-optimized LiGaSn2 structure.

Cell: 6.2181 4.5014 12.7904 Å, 90.00 90.00 90.00°
Space group Pnma (No. 62)
Unique sites:
Li: 0.0147 0.2500 0.1651 (multiplicity 4)
Ga: 0.1173 0.2500 0.9584 (multiplicity 4)
Sn: 0.0204 0.2500 0.4076 (multiplicity 4)
Sn: 0.2020 0.2500 0.7328 (multiplicity 4)


No. 7
VASP calculation (PBE) on a geometry-optimized LiGaSn2 structure.

Cell: 3.7033 3.7033 6.5356 Å, 90.00 90.00 90.00°
Space group P4/mmm (No. 123)
Unique sites:
Li: 0.0000 0.0000 0.0000 (multiplicity 1)
Ga: 0.0000 0.0000 0.5000 (multiplicity 1)
Sn: 0.5000 0.5000 0.2548 (multiplicity 2)


No. 8
VASP calculation (PBE) on a geometry-optimized Li3GaSn3 structure.

Summary:
As for the energy above the most stable polymorph in this dataset: 0.031 eV per atom.

Cell: 8.4238 13.0115 6.6870 Å, 90.00 119.72 90.00°
Space group C2/m (No. 12)
Unique sites:
Li: 0.0000 0.1287 0.0000 (multiplicity 4)
Li: 0.0000 0.3123 0.5000 (multiplicity 4)
Li: 0.0888 0.5000 0.8618 (multiplicity 4)
Ga: 0.1065 0.0000 0.7398 (multiplicity 4)
Sn: 0.1908 0.3256 0.2086 (multiplicity 8)
Sn: 0.2379 0.5000 0.5643 (multiplicity 4)


No. 9
VASP calculation (PBE) on a geometry-optimized Li2Ga8Sn structure.

Cell: 7.3106 14.7505 4.5011 Å, 90.00 119.31 90.00°
Space group C2/m (No. 12)
Unique sites:
Li: 0.0000 0.1711 0.0000 (multiplicity 4)
Ga: 0.0000 0.2872 0.5000 (multiplicity 4)
Ga: 0.1108 0.0000 0.8393 (multiplicity 4)
Ga: 0.2145 0.3509 0.2153 (multiplicity 8)
Sn: 0.0000 0.5000 0.5000 (multiplicity 2)


No. 10
VASP calculation (PBE) on a geometry-optimized LiGa2Sn2 structure.

Summary:
As for the energy above the most stable polymorph in this dataset: 0.036 eV per atom.

Cell: 7.9633 7.9633 3.6784 Å, 90.00 90.00 90.00°
Space group P4/mbm (No. 127)
Unique sites:
Li: 0.0000 0.0000 0.0000 (multiplicity 2)
Ga: 0.1477 0.3523 0.5000 (multiplicity 4)
Sn: 0.1497 0.6497 0.0000 (multiplicity 4)


No. 11
VASP calculation (PBE) on a geometry-optimized Li6Ga5Sn structure.

Cell: 4.0154 8.3514 11.9834 Å, 90.00 90.00 90.00°
Space group Immm (No. 71)
Unique sites:
Li: 0.0000 0.2480 0.0000 (multiplicity 4)
Li: 0.0000 0.2500 0.3317 (multiplicity 8)
Ga: 0.0000 0.0000 0.1633 (multiplicity 4)
Ga: 0.0000 0.5000 0.1769 (multiplicity 4)
Ga: 0.0000 0.5000 0.5000 (multiplicity 2)
Sn: 0.0000 0.0000 0.5000 (multiplicity 2)


No. 12
VASP calculation (PBE) on a geometry-optimized Li5Ga2Sn structure.

Cell: 7.0889 7.0889 11.4644 Å, 90.00 90.00 90.00°
Space group I4/mcm (No. 140)
Unique sites:
Li: 0.0000 0.0000 0.0000 (multiplicity 4)
Li: 0.1647 0.3353 0.1551 (multiplicity 16)
Ga: 0.1328 0.3672 0.5000 (multiplicity 8)
Sn: 0.0000 0.0000 0.2500 (multiplicity 4)


no.,DFT formation energy (eV/atom),electronic total energy (eV/cell)
1,0.00,-57.9
2,-0.21,-105.9
3,-0.20,-59.5
4,0.04,-38.4
5,0.03,-35.0
6,-0.12,-53.7
7,-0.11,-13.4
8,-0.21,-89.0
9,-0.08,-65.9
10,-0.02,-32.2
11,-0.28,-68.0
12,-0.24,-86.3